Entry 1:
The following is a DFT calculation (GGA-PBE) of an optimized crystal structure of KLi.

Lattice parameters (Å, degrees): 6.2487 6.2487 6.2487 60.00 60.00 60.00
With the nearest neighbours (Å) after each atom.
Positions (direct):
K: 0.1250 0.1250 0.1250  4 Li 3.83, 4 K 3.83
K: 0.8750 0.8750 0.8750  4 K 3.83, 4 Li 3.83
Li: 0.3750 0.3750 0.3750  4 Li 3.83, 4 K 3.83
Li: 0.6250 0.6250 0.6250  4 K 3.83, 4 Li 3.83

Fermi-level density of states in states/eV/f.u.: 2.01
Volume in Å³/f.u.: 86.3
VASP energy in eV/atom: -1.33
Space-group type: Fd-3m (227)
Total magnetization in μB/f.u.: 0.00

Entry 2:
The following is a DFT calculation (GGA-PBE) of an optimized crystal structure of KLi3.

Lattice parameters (Å, degrees): 3.3759 4.9714 7.6544 90.00 90.00 90.00
With the nearest neighbours (Å) after each atom.
Positions (direct):
K: 0.0000 0.0000 0.0000  2 K 3.38, 2 Li 3.69
Li: 0.0000 0.5000 0.3571  8 Li 3.04-3.38
Li: 0.5000 0.0000 0.4835  6 Li 2.93-3.16
Li: 0.5000 0.5000 0.6873  4 Li 2.93-3.04

Fermi-level density of states in states/eV/f.u.: 1.43
Volume in Å³/f.u.: 128.5
VASP energy in eV/atom: -1.56
Space-group type: Pmm2 (25)
Total magnetization in μB/f.u.: 0.00

Entry 3:
The following is a DFT calculation (GGA-PBE) of an optimized crystal structure of KLi3.

Lattice parameters (Å, degrees): 6.1855 6.1855 3.5286 90.00 90.00 110.54
With the nearest neighbours (Å) after each atom.
Positions (direct):
K: 0.0000 0.0000 0.0000  10 Li 3.52-3.56, 2 K 3.53
Li: 0.0000 0.5000 0.5000  8 Li 3.52-3.56, 4 K 3.56
Li: 0.5000 0.0000 0.5000  8 Li 3.52-3.56, 4 K 3.56
Li: 0.5000 0.5000 0.0000  2 K 3.52, 10 Li 3.53-3.56

Fermi-level density of states in states/eV/f.u.: 1.85
Volume in Å³/f.u.: 126.4
VASP energy in eV/atom: -1.51
Space-group type: Cmmm (65)
Total magnetization in μB/f.u.: 0.00

Entry 4:
The following is a DFT calculation (GGA-PBE) of an optimized crystal structure of KLi2.

Lattice parameters (Å, degrees): 10.0165 10.0165 10.0165 150.85 150.85 41.69
With the nearest neighbours (Å) after each atom.
Positions (direct):
K: 0.3750 0.6250 0.7500  12 Li 3.88-4.04
K: 0.6250 0.3750 0.2500  12 Li 3.88-4.04
Li: 0.0435 0.7935 0.2500  3 Li 3.00-3.05
Li: 0.2065 0.9565 0.2500  3 Li 3.00-3.05
Li: 0.7935 0.0435 0.7500  3 Li 3.00-3.05
Li: 0.9565 0.2065 0.7500  3 Li 3.00-3.05

Fermi-level density of states in states/eV/f.u.: 1.97
Volume in Å³/f.u.: 118.9
VASP energy in eV/atom: -1.43
Space-group type: I4_1/amd (141)
Total magnetization in μB/f.u.: 0.00